The following is a PBE calculation of a geometry-optimized PmYPd2 structure, from Alexandria via LeMat-Bulk.

Lattice parameters (Å, degrees): 3.821 4.585 5.682 90.00 109.69 90.00
Positions (direct):
Pd 0.169 0.500 0.877
Pd 0.998 0.000 0.535
Pm 0.445 0.500 0.428
Y 0.719 0.000 0.977

Results
Relative energy among the computed polymorphs (kJ/mol of formula units): 0
DFT formation energy (eV/atom): -0.8649

=====

The following is a PBE calculation of a geometry-optimized CsAgSbAu2 structure, from Alexandria via LeMat-Bulk.

Lattice parameters (Å, degrees): 5.466 5.466 5.461 90.00 90.00 90.00
Positions (direct):
Cs 0.500 0.500 0.500
Ag 0.000 0.000 0.500
Au 0.000 0.500 0.000
Au 0.500 0.000 0.000
Sb 0.000 0.000 0.000

Results
E_tot (eV/atom): -2.98

=====

The following is a PBE calculation of a geometry-optimized NaSm2Ga structure, from Alexandria via LeMat-Bulk.

Lattice parameters (Å, degrees): 3.547 3.547 9.356 90.00 90.00 90.00
Positions (direct):
Sm 0.000 0.000 0.198
Sm 0.000 0.000 0.802
Na 0.500 0.500 0.500
Ga 0.500 0.500 0.000

Results
Relative energy among the computed polymorphs (kJ/mol of formula units): 0
DFT formation energy (eV/atom): -0.1720

=====

The following is a PBE calculation of a geometry-optimized ScAg2IrW structure, from Alexandria via LeMat-Bulk.

Lattice parameters (Å, degrees): 5.011 4.702 5.011 90.00 90.00 90.00
Positions (direct):
Sc 0.500 0.500 0.500
Ir 0.000 0.000 0.000
Ag 0.000 0.000 0.500
Ag 0.500 0.000 0.000
W 0.000 0.500 0.000

Results
DFT formation energy (eV/atom): 1.0668

=====

The following is a PBE calculation of a geometry-optimized Dy2NpScO8 structure, from Alexandria via LeMat-Bulk.

Lattice parameters (Å, degrees): 5.025 5.024 6.848 90.00 90.00 92.05
Positions (direct):
O 0.287 0.286 0.000
O 0.713 0.714 0.000
O 0.179 0.820 0.232
O 0.821 0.180 0.768
O 0.706 0.707 0.500
O 0.294 0.293 0.500
O 0.821 0.181 0.232
O 0.179 0.819 0.768
Dy 0.500 0.500 0.738
Dy 0.500 0.500 0.262
Sc 0.000 0.000 0.500
Np 0.000 0.000 0.000

Results
E_tot (eV/atom): -8.84

=====

The following is a PBE calculation of a geometry-optimized ZnPSeBr2 structure, from Alexandria via LeMat-Bulk.

Lattice parameters (Å, degrees): 5.053 5.053 5.034 90.00 90.00 90.00
Positions (direct):
P 0.000 0.000 0.000
Br 0.000 0.500 0.000
Br 0.500 0.000 0.000
Se 0.000 0.000 0.500
Zn 0.500 0.500 0.500

Results
Relative energy among the computed polymorphs (kJ/mol of formula units): 0

=====

The following is a PBE calculation of a geometry-optimized PPb2SeCl structure, from Alexandria via LeMat-Bulk.

Lattice parameters (Å, degrees): 5.798 4.802 5.798 90.00 90.00 90.00
Positions (direct):
Cl 0.500 0.500 0.500
Se 0.000 0.000 0.000
Pb 0.500 0.000 0.000
Pb 0.000 0.000 0.500
P 0.000 0.500 0.000

Results
E_tot (eV/atom): -3.37

=====

The following is a PBE calculation of a geometry-optimized NdErHf2 structure, from Alexandria via LeMat-Bulk.

Lattice parameters (Å, degrees): 3.257 3.257 11.788 82.06 82.06 60.00
Positions (direct):
Hf 0.909 0.909 0.272
Hf 0.091 0.091 0.728
Er 0.500 0.500 0.500
Nd 0.000 0.000 0.000

Results
DFT formation energy (eV/atom): 0.3550

=====

The following is a PBE calculation of a geometry-optimized Cd2IrPbI structure, from Alexandria via LeMat-Bulk.

Lattice parameters (Å, degrees): 5.348 5.348 5.260 90.00 90.00 90.00
Positions (direct):
Cd 0.500 0.000 0.000
Cd 0.000 0.500 0.000
I 0.500 0.500 0.500
Pb 0.000 0.000 0.500
Ir 0.000 0.000 0.000

Results
E_tot (eV/atom): -3.16

=====

The following is a PBE calculation of a geometry-optimized Dy2Hf2Si2C structure, from Alexandria via LeMat-Bulk.

Lattice parameters (Å, degrees): 4.356 4.356 8.163 105.48 105.48 90.00
Last column: magnetic moment on the atom in μB.
Positions (direct):
Dy 0.169 0.169 0.337  0.14
Dy 0.831 0.831 0.663  0.14
Si 0.629 0.629 0.258  -0.01
Si 0.371 0.371 0.742  -0.01
Hf 0.500 0.000 0.000  0.09
Hf 0.000 0.500 0.000  0.09
C 0.000 0.000 0.000  -0.01

Results
E_tot (eV/atom): -7.71

=====

The following is a PBE calculation of a geometry-optimized TaMn2Pb structure, from Alexandria via LeMat-Bulk.

Lattice parameters (Å, degrees): 4.625 4.625 5.303 79.74 79.74 39.73
Last column: magnetic moment on the atom in μB.
Positions (direct):
Mn 0.008 0.008 0.957  2.84
Mn 0.492 0.492 0.543  2.84
Pb 0.250 0.250 0.250  -0.04
Ta 0.750 0.750 0.750  -0.58

Results
DFT formation energy (eV/atom): 0.4594

=====

The following is a PBE calculation of a geometry-optimized Li2WS4 structure, from Alexandria via LeMat-Bulk.

Lattice parameters (Å, degrees): 6.106 7.761 13.132 90.00 90.00 90.00
Positions (direct):
Li 0.500 0.500 0.500
Li 0.500 0.000 0.500
Li 0.995 0.750 0.734
Li 0.005 0.250 0.266
Li 0.495 0.250 0.766
Li 0.000 0.000 0.000
Li 0.505 0.750 0.234
Li 0.000 0.500 0.000
W 0.124 0.250 0.590
W 0.376 0.250 0.090
W 0.624 0.750 0.910
W 0.876 0.750 0.410
S 0.765 0.250 0.592
S 0.246 0.481 0.168
S 0.254 0.481 0.668
S 0.754 0.519 0.832
S 0.746 0.519 0.332
S 0.254 0.019 0.668
S 0.735 0.250 0.092
S 0.249 0.250 0.932
S 0.235 0.750 0.408
S 0.754 0.981 0.832
S 0.246 0.019 0.168
S 0.746 0.981 0.332
S 0.251 0.250 0.432
S 0.749 0.750 0.568
S 0.751 0.750 0.068
S 0.265 0.750 0.908

Results
Relative energy among the computed polymorphs (kJ/mol of formula units): 10

=====

The following is a PBE calculation of a geometry-optimized Hf3Zr3TiN8 structure, from Alexandria via LeMat-Bulk.

Lattice parameters (Å, degrees): 6.366 6.366 6.398 119.83 90.00 120.00
Positions (direct):
N 0.236 0.994 0.729
N 0.764 0.529 0.271
N 0.254 0.507 0.261
N 0.242 0.006 0.271
N 0.758 0.994 0.729
N 0.236 0.471 0.729
N 0.746 0.493 0.739
N 0.764 0.006 0.271
Hf 0.000 0.500 0.500
Hf 0.500 0.000 0.500
Hf 0.500 0.500 0.500
Zr 0.000 0.500 0.000
Zr 0.500 0.500 0.000
Zr 0.000 0.000 0.000
Ti 0.000 0.000 0.500

Results
E_tot (eV/atom): -10.35

=====

| no. | calculated density (g/cm3) |
| --- | --- |
| 1 | 7.9 |
| 2 | 7.7 |
| 3 | 5.5 |
| 4 | 9.0 |
| 5 | 7.1 |
| 6 | 4.3 |
| 7 | 5.8 |
| 8 | 10.4 |
| 9 | 8.3 |
| 10 | 8.7 |
| 11 | 11.6 |
| 12 | 3.5 |
| 13 | 8.8 |